Entry 1:
DFT (PBE-GGA) results for an optimized crystal structure of NaCuSn6.

Lattice parameters (Å, degrees): 4.428 6.901 6.901 81.34 90.00 90.00
Sites, in units of the cell vectors:
Na (0.000, 0.000, 0.000)
Cu (0.000, 0.593, 0.593)
Sn (0.000, 0.010, 0.496)
Sn (0.000, 0.496, 0.010)
Sn (0.500, 0.233, 0.233)
Sn (0.500, 0.310, 0.683)
Sn (0.500, 0.683, 0.310)
Sn (0.500, 0.766, 0.766)

Summary:
The calculation puts the formation energy at 8 meV/atom.



Entry 2:
DFT (PBE-GGA) results for an optimized crystal structure of NaCu2Sn2.

Lattice parameters (Å, degrees): 6.104 6.104 6.104 135.09 135.09 65.39
Sites, in units of the cell vectors:
Na (0.000, 0.000, 0.000)
Cu (0.381, 0.381, 0.000)
Cu (0.619, 0.619, 0.000)
Sn (0.250, 0.750, 0.500)
Sn (0.750, 0.250, 0.500)

Summary:
The calculation puts the formation energy at 54 meV/atom.